1.
A geometry-optimized CeSi2SbIr5 structure. Source: the Alexandria database, functional PBE-GGA.

Cell: 4.055 4.055 10.564 Å, 90.00 90.00 90.00°
Positions (direct):
Ce (0.000, 0.000, 0.000)
Si (0.500, 0.500, 0.222)
Si (0.500, 0.500, 0.778)
Sb (0.000, 0.000, 0.500)
Ir (0.000, 0.500, 0.335)
Ir (0.000, 0.500, 0.665)
Ir (0.500, 0.000, 0.335)
Ir (0.500, 0.000, 0.665)
Ir (0.500, 0.500, 0.000)

As for the total energy: -0.5649 Ry per atom. The formation energy from raw total energies is -441 meV/atom. The calculation puts the calculated volume at 19.3 Å³/atom.

---

2.
A geometry-optimized CeSc3Ir4 structure. Source: the Alexandria database, functional PBE-GGA.

Cell: 8.217 8.217 8.217 Å, 32.89 32.89 32.89°
Positions (direct):
Ce (0.000, 0.000, 0.000)
Sc (0.246, 0.246, 0.246)
Sc (0.500, 0.500, 0.500)
Sc (0.754, 0.754, 0.754)
Ir (0.127, 0.127, 0.127)
Ir (0.382, 0.382, 0.382)
Ir (0.618, 0.618, 0.618)
Ir (0.873, 0.873, 0.873)

Its formation energy is -84 kJ/mol of atoms. As for the total energy: -0.6184 Ry per atom. The calculation puts the calculated volume at 18.2 Å³/atom.

---

3.
A geometry-optimized Ce2ScIr9 structure. Source: the Alexandria database, functional PBE-GGA.

Cell: 9.388 9.388 9.388 Å, 32.62 32.62 32.62°
Positions (direct):
Ce (0.138, 0.138, 0.138)
Ce (0.862, 0.862, 0.862)
Sc (0.000, 0.000, 0.000)
Ir (0.081, 0.582, 0.582)
Ir (0.333, 0.333, 0.333)
Ir (0.418, 0.418, 0.919)
Ir (0.418, 0.919, 0.418)
Ir (0.500, 0.500, 0.500)
Ir (0.582, 0.081, 0.582)
Ir (0.582, 0.582, 0.081)
Ir (0.667, 0.667, 0.667)
Ir (0.919, 0.418, 0.418)

Its formation energy is -51 kJ/mol of atoms. As for the total energy: -0.6386 Ry per atom. The calculation puts the calculated volume at 17.8 Å³/atom.

---

4.
A geometry-optimized Ce5ScIr4 structure. Source: the Alexandria database, functional PBE-GGA.

Cell: 7.894 7.894 6.785 Å, 94.36 94.36 32.88°
Positions (direct):
Ce (0.000, 0.000, 0.000)
Ce (0.315, 0.315, 0.982)
Ce (0.335, 0.335, 0.429)
Ce (0.665, 0.665, 0.571)
Ce (0.685, 0.685, 0.018)
Sc (0.000, 0.000, 0.500)
Ir (0.154, 0.154, 0.279)
Ir (0.490, 0.490, 0.735)
Ir (0.510, 0.510, 0.265)
Ir (0.846, 0.846, 0.721)

Its formation energy is -60 kJ/mol of atoms. As for the total energy: -0.5709 Ry per atom. The calculation puts the calculated volume at 22.9 Å³/atom.

---

5.
A geometry-optimized CeSc2Ir2 structure. Source: the Alexandria database, functional PBE-GGA.

Cell: 4.676 4.676 5.703 Å, 90.00 90.00 120.00°
Positions (direct):
Ce (0.000, 0.000, 0.000)
Sc (0.333, 0.667, 0.350)
Sc (0.667, 0.333, 0.650)
Ir (0.333, 0.667, 0.829)
Ir (0.667, 0.333, 0.171)

Its formation energy is -72 kJ/mol of atoms. As for the total energy: -0.5886 Ry per atom. The calculation puts the calculated volume at 21.6 Å³/atom.

---

6.
A geometry-optimized CeScIr4 structure. Source: the Alexandria database, functional PBE-GGA.

Cell: 5.326 5.326 5.326 Å, 60.00 60.00 60.00°
Positions (direct):
Ce (0.000, 0.000, 0.000)
Sc (0.750, 0.750, 0.750)
Ir (0.376, 0.376, 0.376)
Ir (0.376, 0.376, 0.873)
Ir (0.376, 0.873, 0.376)
Ir (0.873, 0.376, 0.376)

Its formation energy is -71 kJ/mol of atoms. As for the total energy: -0.6387 Ry per atom. The calculation puts the calculated volume at 17.8 Å³/atom.

---

7.
A geometry-optimized Ce2Sc2Si4Ir structure. Source: the Alexandria database, functional PBE-GGA.

Cell: 6.287 6.287 6.287 Å, 119.90 119.90 90.18°
Positions (direct):
Ce (0.250, 0.750, 0.500)
Ce (0.750, 0.250, 0.500)
Sc (0.209, 0.209, 0.000)
Sc (0.791, 0.791, 0.000)
Si (0.226, 0.226, 0.452)
Si (0.226, 0.774, 0.000)
Si (0.774, 0.226, 0.000)
Si (0.774, 0.774, 0.548)
Ir (0.500, 0.500, 0.000)

As for the total energy: -0.4888 Ry per atom. The formation energy from raw total energies is -529 meV/atom. The calculation puts the calculated volume at 19.6 Å³/atom.

---

8.
A geometry-optimized Ce2ScSi3Ir4 structure. Source: the Alexandria database, functional PBE-GGA.

Cell: 4.104 4.104 10.721 Å, 90.00 90.00 90.00°
Positions (direct):
Ce (0.000, 0.500, 0.240)
Ce (0.500, 0.000, 0.760)
Sc (0.000, 0.000, 0.500)
Si (0.000, 0.500, 0.878)
Si (0.500, 0.000, 0.122)
Si (0.500, 0.500, 0.500)
Ir (0.000, 0.000, 0.000)
Ir (0.000, 0.500, 0.653)
Ir (0.500, 0.000, 0.347)
Ir (0.500, 0.500, 0.000)

As for the total energy: -0.5881 Ry per atom. The formation energy from raw total energies is -1010 meV/atom. The calculation puts the calculated volume at 18.1 Å³/atom.

---

9.
A geometry-optimized CeScTcIr structure. Source: the Alexandria database, functional PBE-GGA.

Cell: 6.713 6.713 6.713 Å, 90.00 90.00 90.00°
Positions (direct):
Ce (0.000, 0.000, 0.000)
Ce (0.000, 0.500, 0.500)
Ce (0.500, 0.000, 0.500)
Ce (0.500, 0.500, 0.000)
Sc (0.000, 0.000, 0.500)
Sc (0.000, 0.500, 0.000)
Sc (0.500, 0.000, 0.000)
Sc (0.500, 0.500, 0.500)
Tc (0.250, 0.250, 0.750)
Tc (0.250, 0.750, 0.250)
Tc (0.750, 0.250, 0.250)
Tc (0.750, 0.750, 0.750)
Ir (0.250, 0.250, 0.250)
Ir (0.250, 0.750, 0.750)
Ir (0.750, 0.250, 0.750)
Ir (0.750, 0.750, 0.250)

Its formation energy is -46 kJ/mol of atoms. As for the total energy: -0.6140 Ry per atom. The calculation puts the calculated volume at 18.9 Å³/atom.

---

10.
A geometry-optimized CeScZnIr structure. Source: the Alexandria database, functional PBE-GGA.

Cell: 6.865 6.865 6.865 Å, 90.00 90.00 90.00°
Positions (direct):
Ce (0.000, 0.000, 0.000)
Ce (0.000, 0.500, 0.500)
Ce (0.500, 0.000, 0.500)
Ce (0.500, 0.500, 0.000)
Sc (0.000, 0.000, 0.500)
Sc (0.000, 0.500, 0.000)
Sc (0.500, 0.000, 0.000)
Sc (0.500, 0.500, 0.500)
Zn (0.250, 0.250, 0.750)
Zn (0.250, 0.750, 0.250)
Zn (0.750, 0.250, 0.250)
Zn (0.750, 0.750, 0.750)
Ir (0.250, 0.250, 0.250)
Ir (0.250, 0.750, 0.750)
Ir (0.750, 0.250, 0.750)
Ir (0.750, 0.750, 0.250)

Its formation energy is -49 kJ/mol of atoms. As for the total energy: -0.4491 Ry per atom. The calculation puts the calculated volume at 20.2 Å³/atom.